Record 1
# YPuSb, optimized geometry, DFT PBE-GGA
data_YPuSb
_symmetry_space_group_name_H-M 'F -4 3 m'
_symmetry_Int_Tables_number 216
_symmetry_space_group_name_Hall 'F -4 2 3'
_cell_length_a 7.305
_cell_length_b 7.305
_cell_length_c 7.305
_cell_angle_alpha 90.00
_cell_angle_beta 90.00
_cell_angle_gamma 90.00
loop_
_atom_site_label
_atom_site_fract_x
_atom_site_fract_y
_atom_site_fract_z
_atom_site_occupancy
Y1 0.000 0.000 0.000 1
Pu1 0.250 0.250 0.750 1
Sb1 0.250 0.250 0.250 1
# Crystal system   cubic
# E_tot   -8.26 eV/atom

Record 2
# TbTmSO2, optimized geometry, DFT PBE-GGA
data_TbTmSO2
_symmetry_space_group_name_H-M 'P 3 m 1'
_symmetry_Int_Tables_number 156
_cell_length_a 3.7680
_cell_length_b 3.7680
_cell_length_c 6.5474
_cell_angle_alpha 90.00
_cell_angle_beta 90.00
_cell_angle_gamma 120.00
loop_
_symmetry_equiv_pos_as_xyz
'x,y,z'
'-y,x-y,z'
'-x+y,-x,z'
'-y,-x,z'
'-x+y,y,z'
'x,x-y,z'
loop_
_atom_site_label
_atom_site_fract_x
_atom_site_fract_y
_atom_site_fract_z
_atom_site_occupancy
Tb1 0.0000 0.0000 0.0000 1
Tm1 0.3333 0.6667 0.5648 1
S1 0.6667 0.3333 0.2850 1
O1 0.0000 0.0000 0.6476 1
O2 0.3333 0.6667 0.9066 1
# Crystal system   trigonal
# E_tot   -7.85 eV/atom

Record 3
# InTe3OsAu, optimized geometry, DFT PBE-GGA
data_InTe3OsAu
_symmetry_space_group_name_H-M 'C m c m'
_symmetry_Int_Tables_number 63
_symmetry_space_group_name_Hall '-C 2c 2'
_cell_length_a 4.051
_cell_length_b 15.338
_cell_length_c 10.533
_cell_angle_alpha 90.00
_cell_angle_beta 90.00
_cell_angle_gamma 90.00
loop_
_atom_site_label
_atom_site_fract_x
_atom_site_fract_y
_atom_site_fract_z
_atom_site_occupancy
In1 0.000 0.192 0.250 1
Te1 0.000 0.114 0.518 1
Te2 0.000 0.457 0.750 1
Os1 0.000 0.500 0.000 1
Au1 0.000 0.181 0.750 1
# Crystal system   orthorhombic
# E_tot   -4.42 eV/atom

Record 4
# TbSnAuSe3, optimized geometry, DFT PBE-GGA
data_TbSnAuSe3
_symmetry_space_group_name_H-M 'C 1 2/m 1'
_symmetry_Int_Tables_number 12
_cell_length_a 18.342
_cell_length_b 4.038
_cell_length_c 8.467
_cell_angle_alpha 90.00
_cell_angle_beta 102.12
_cell_angle_gamma 90.00
loop_
_symmetry_equiv_pos_as_xyz
'x,y,z'
'-x,-y,-z'
'-x,y,-z'
'x,-y,z'
'x+1/2,y+1/2,z'
'-x+1/2,-y+1/2,-z'
'-x+1/2,y+1/2,-z'
'x+1/2,-y+1/2,z'
loop_
_atom_site_label
_atom_site_fract_x
_atom_site_fract_y
_atom_site_fract_z
_atom_site_occupancy
Tb1 0.163 0.000 0.093 1
Sn1 0.128 0.000 0.579 1
Au1 0.048 0.500 0.219 1
Se1 0.000 0.000 0.000 1
Se2 0.000 0.500 0.500 1
Se3 0.174 0.500 0.854 1
Se4 0.190 0.500 0.345 1
# Crystal system   monoclinic
# E_tot   -4.58 eV/atom

- Which of these has the highest E_tot?
  InTe3OsAu

- Number 3 is which compound?
  InTe3OsAu

- Which of these has the highest E_tot?
  InTe3OsAu